# SCAN NaCu2I, PBEsol geometry
data_NaCu2I
_chemical_formula_sum 'Na4 Cu8 I4'
_space_group_name_H-M_alt 'F m -3 m'
_space_group_IT_number 225
_space_group_name_Hall '-F 4 2 3'
_cell_length_a 6.762
_cell_length_b 6.762
_cell_length_c 6.762
_cell_angle_alpha 90.00
_cell_angle_beta 90.00
_cell_angle_gamma 90.00
loop_
_atom_site_label
_atom_site_type_symbol
_atom_site_fract_x
_atom_site_fract_y
_atom_site_fract_z
Na1 Na 0.000 0.000 0.000
Cu1 Cu 0.250 0.250 0.250
I1 I 0.000 0.000 0.500
# Formation energy from raw total energies, eV per formula unit: 2.20
# DFT total energy, eV/atom: -17.29
# Fermi-level density of states, states/eV/atom: 0.269
# M_tot, μB/atom: 0.00